## BaLa2Os (PBEsol)

Data for BaLa2Os after structural relaxation.

Space-group type: P4/mmm
E above lowest polymorph in meV per atom: 70
Formation enthalpy at 0 K in eV per atom: 0.08

a b c (Å): 3.550 3.550 10.521
angles (deg): 90.00 90.00 90.00
Sites, in units of the cell vectors:
Ba (0.000, 0.000, 0.000)
La (0.500, 0.500, 0.340)
La (0.500, 0.500, 0.660)
Os (0.000, 0.000, 0.500)


## TiSnS2 (PBEsol)

Data for TiSnS2 after structural relaxation.

Space-group type: R-3m
Uncorrected formation energy in eV/atom: -1.049

a b c (Å): 8.652 8.652 8.652
angles (deg): 22.18 22.18 22.18
Sites, in units of the cell vectors:
Ti (0.000, 0.000, 0.000)
Sn (0.500, 0.500, 0.500)
S (0.391, 0.391, 0.391)
S (0.609, 0.609, 0.609)


## TaTi2CrI (PBEsol)

Data for TaTi2CrI after structural relaxation.

Space-group type: P4/mmm
Uncorrected formation energy in eV/atom: 1.494

a b c (Å): 4.808 4.808 4.595
angles (deg): 90.00 90.00 90.00
Sites, in units of the cell vectors:
Ta (0.000, 0.000, 0.000)
Ti (0.000, 0.500, 0.500)
Ti (0.500, 0.000, 0.500)
Cr (0.500, 0.500, 0.000)
I (0.500, 0.500, 0.500)


## CoReIr (PBEsol)

Data for CoReIr after structural relaxation.

Space-group type: Imm2
Formation enthalpy at 0 K in eV per atom: -0.10

a b c (Å): 4.551 4.551 4.551
angles (deg): 145.98 132.05 60.09
Sites, in units of the cell vectors:
Co (0.000, 0.000, 0.000)
Re (0.339, 0.339, 0.000)
Ir (0.668, 0.668, 0.000)